[1]
## SbSe2 (GGA-PBE)

Data for SbSe2 after structural relaxation.

- Crystal system: hexagonal
- M_tot: 0.0000 μB per atom
- Space group: P6_3/mmc
- E_tot: -3.691 eV per atom

Unit cell a=3.9492 b=3.9492 c=11.3401 alpha=90.00 beta=90.00 gamma=120.00
Last column: nearest neighbours and their distance in Å.
Sites, in units of the cell vectors:
Sb1 0.0000 0.0000 0.7500  6 Se 2.91
Sb2 0.0000 0.0000 0.2500  6 Se 2.91
Se1 0.3333 0.6667 0.9100  3 Sb 2.91, 3 Se 3.06
Se2 0.3333 0.6667 0.5900  3 Sb 2.91, 3 Se 3.06
Se3 0.6667 0.3333 0.4100  3 Sb 2.91, 3 Se 3.06
Se4 0.6667 0.3333 0.0900  3 Sb 2.91, 3 Se 3.06

[2]
## Sb3Se5 (GGA-PBE)

Data for Sb3Se5 after structural relaxation.

- Crystal system: hexagonal
- M_tot: 0.0000 μB per atom
- Space group: P6_3/mcm
- E_tot: -3.780 eV per atom

Unit cell a=8.9771 b=8.9771 c=5.7449 alpha=90.00 beta=90.00 gamma=120.00
Last column: nearest neighbours and their distance in Å.
Sites, in units of the cell vectors:
Se1 0.7330 0.7330 0.2500  4 Sb 2.78-2.95
Se2 0.7330 0.0000 0.7500  4 Sb 2.78-2.95
Se3 0.0000 0.7330 0.7500  4 Sb 2.78-2.95
Se4 0.3333 0.6667 0.5000  2 Se 2.87
Se5 0.0000 0.2670 0.2500  4 Sb 2.78-2.95
Se6 0.3333 0.6667 0.0000  2 Se 2.87
Se7 0.2670 0.2670 0.7500  4 Sb 2.78-2.95
Se8 0.6667 0.3333 0.0000  2 Se 2.87
Se9 0.2670 0.0000 0.2500  4 Sb 2.78-2.95
Se10 0.6667 0.3333 0.5000  2 Se 2.87
Sb1 0.6600 0.0000 0.2500  4 Se 2.78-2.95
Sb2 0.3400 0.0000 0.7500  4 Se 2.78-2.95
Sb3 0.0000 0.3400 0.7500  4 Se 2.78-2.95
Sb4 0.3399 0.3400 0.2500  4 Se 2.78-2.95
Sb5 0.6600 0.6600 0.7500  4 Se 2.78-2.95
Sb6 0.0000 0.6600 0.2500  4 Se 2.78-2.95

[3]
## SbSe3 (GGA-PBE)

Data for SbSe3 after structural relaxation.

- Crystal system: monoclinic
- M_tot: 0.0000 μB per atom
- Space group: P2/m
- E_tot: -3.504 eV per atom

Unit cell a=5.7521 b=4.2017 c=4.3817 alpha=82.29 beta=90.00 gamma=90.00
Last column: nearest neighbours and their distance in Å.
Sites, in units of the cell vectors:
Se1 0.0000 0.5000 0.5000  2 Sb 2.82
Se2 0.5000 0.8559 0.7510  2 Se 2.36-2.63
Se3 0.5000 0.1441 0.2490  2 Se 2.36-2.63
Sb1 0.0000 0.0000 0.0000  6 Se 2.82-3.16